12
Lattice="5.4878 0.0000 0.0000 -2.7439 4.7526 0.0000 0.0000 0.0000 8.7653" Properties=species:S:1:pos:R:3 comment="CsTlCr2O8 | Alexandria via LeMat-Bulk | GGA+U | optimized geometry" energy_ev_per_cell=-72.6 pbc="T T T"
Cs 0.0000 0.0000 0.0000
Tl 0.0000 0.0000 4.3826
Cr 0.0000 3.1684 6.2913
Cr 2.7439 1.5842 2.4739
O -0.5712 1.6744 5.7755
O -1.0082 4.4100 5.7755
O 0.0000 3.1684 7.9210
O 1.1644 1.3319 2.9898
O 1.5794 3.4207 5.7755
O 2.7439 1.5842 0.8442
O 3.7521 0.3425 2.9898
O 3.3151 3.0782 2.9898